DFT (PBE+U) results for a relaxed Cu2NiPO6 crystal.

```
data_Cu2NiPO6
_chemical_formula_sum 'Cu4 Ni2 P2 O12'
_symmetry_space_group_name_H-M 'P 1'
_symmetry_Int_Tables_number 1
_symmetry_space_group_name_Hall 'P 1'
_cell_length_a 7.199
_cell_length_b 7.199
_cell_length_c 5.005
_cell_angle_alpha 105.01
_cell_angle_beta 105.01
_cell_angle_gamma 102.56
loop_
_atom_site_label
_atom_site_type_symbol
_atom_site_fract_x
_atom_site_fract_y
_atom_site_fract_z
Cu1 Cu 0.030 0.209 0.129
Cu2 Cu 0.209 0.030 0.629
Cu3 Cu 0.791 0.970 0.371
Cu4 Cu 0.970 0.791 0.871
Ni1 Ni 0.413 0.587 0.750
Ni2 Ni 0.587 0.413 0.250
P1 P 0.334 0.666 0.250
P2 P 0.666 0.334 0.750
O1 O 0.040 0.193 0.542
O2 O 0.183 0.642 0.955
O3 O 0.193 0.040 0.042
O4 O 0.302 0.455 0.307
O5 O 0.358 0.817 0.545
O6 O 0.455 0.302 0.807
O7 O 0.545 0.698 0.193
O8 O 0.642 0.183 0.455
O9 O 0.698 0.545 0.693
O10 O 0.807 0.960 0.958
O11 O 0.817 0.358 0.045
O12 O 0.960 0.807 0.458
```

Values from the calculation:
Space group ... C2/c, No. 15
Uncorrected energy ... -5.652 eV/atom